YPSe2 | PBE | relaxed

## Properties
formation energy without anion corrections = -0.787 eV per atom

Cell and atoms, written as extended XYZ:
```
4
Lattice="2.5894 1.8903 4.2995 -3.3403 -0.3596 4.1805 2.1870 -3.2945 -3.6231" Properties=species:S:1:pos:R:3 pbc="T T T"
Y -0.5766 -1.8271 0.2787
P 2.3882 -0.7021 0.3382
Se -0.5222 1.0645 5.8975
Se -0.2287 0.4662 2.5825
```